# TiVN | Alexandria via LeMat-Bulk | PBE | relaxed
data_TiVN
_cell_length_a 2.9321
_cell_length_b 2.9321
_cell_length_c 4.6248
_cell_angle_alpha 90.00
_cell_angle_beta 90.00
_cell_angle_gamma 120.00
_space_group_name_H-M_alt 'P 3 m 1'
_space_group_IT_number 156
_space_group_name_Hall 'P 3 -2"'
loop_
_atom_site_label
_atom_site_fract_x
_atom_site_fract_y
_atom_site_fract_z
Ti1 0.0000 0.0000 0.0000
V1 0.6667 0.3333 0.4982
N1 0.3333 0.6667 0.7406
# Raw total energy   -9.56 eV/atom
# Raw formation energy   -107.16 kJ/mol of atoms